Entry 1:
DFT (GGA-PBE) results for a relaxed HfBe9Nb2 crystal.

The density of states at the Fermi level comes out at 5.4 states/eV/f.u. The formation energy is -0.248 eV per atom. The value obtained for the total energy is -5.55 eV per atom.

The structure belongs to space group R-3m (No. 166, hexagonal axes); the cell edges are 4.6004, 4.6004 and 21.4178 Å and the angles 90.00°, 90.00° and 120.00°. The inequivalent atoms are Hf at (0.0000, 0.0000, 0.0000), Be at (0.0000, 0.0000, 0.3350), Be at (0.0000, 0.0000, 0.5000), Be at (0.0061, 0.5031, 0.9178) and Nb at (0.0000, 0.0000, 0.1424).



Entry 2:
DFT (GGA-PBE) results for a relaxed Ta2CdCoSe crystal.

The density of states at the Fermi level comes out at 5.9 states/eV/f.u. The value obtained for the total energy is -5.68 eV per atom.

The structure belongs to space group P4/mmm (No. 123); the cell edges are 4.706, 4.706 and 4.987 Å and the angles 90.00°, 90.00° and 90.00°. The inequivalent atoms are Ta at (0.000, 0.500, 0.000), Cd at (0.000, 0.000, 0.500), Co at (0.500, 0.500, 0.500) and Se at (0.000, 0.000, 0.000).



Entry 3:
DFT (GGA-PBE) results for a relaxed BaAcY2 crystal.

The density of states at the Fermi level comes out at 7.6 states/eV/f.u. The formation energy is 0.165 eV per atom. The value obtained for the total energy is -4.57 eV per atom.

The structure belongs to space group P4/mmm (No. 123); the cell edges are 3.871, 3.871 and 10.843 Å and the angles 90.00°, 90.00° and 90.00°. The inequivalent atoms are Ba at (0.000, 0.000, 0.000), Ac at (0.000, 0.000, 0.500) and Y at (0.500, 0.500, 0.271).



Entry 4:
DFT (GGA-PBE) results for a relaxed ZrTl2Cu crystal.

The density of states at the Fermi level comes out at 2.6 states/eV/f.u. The formation energy is 0.170 eV per atom. The value obtained for the total energy is -4.17 eV per atom.

The structure belongs to space group Imm2 (No. 44); the cell edges are 3.496, 4.604 and 11.023 Å and the angles 90.00°, 90.00° and 90.00°. The inequivalent atoms are Zr at (0.000, 0.000, 0.000), Tl at (0.000, 0.000, 0.588), Tl at (0.000, 0.500, 0.802) and Cu at (0.000, 0.500, 0.297).



Entry 5:
DFT (GGA-PBE) results for a relaxed Y2CoHgPb crystal.

The density of states at the Fermi level comes out at 3.4 states/eV/f.u. The formation energy is -0.159 eV per atom. The value obtained for the total energy is -4.97 eV per atom.

The structure belongs to space group P4/mmm (No. 123); the cell edges are 5.092, 5.092 and 4.971 Å and the angles 90.00°, 90.00° and 90.00°. The inequivalent atoms are Y at (0.000, 0.500, 0.000), Co at (0.000, 0.000, 0.000), Hg at (0.000, 0.000, 0.500) and Pb at (0.500, 0.500, 0.500).



Entry 6:
DFT (GGA-PBE) results for a relaxed YTl2Ru crystal.

The density of states at the Fermi level comes out at 3.0 states/eV/f.u. The formation energy is 0.117 eV per atom. The value obtained for the total energy is -5.00 eV per atom.

The structure belongs to space group P2/m (No. 10); the cell edges are 3.430, 4.830 and 5.709 Å and the angles 90.00°, 103.16° and 90.00°. The inequivalent atoms are Y at (0.000, 0.000, 0.000), Tl at (0.353, 0.500, 0.729) and Ru at (0.500, 0.000, 0.500).



Entry 7:
DFT (GGA-PBE) results for a relaxed Cu2HS crystal.

The density of states at the Fermi level comes out at 2.3 states/eV/f.u. The value obtained for the total energy is -3.85 eV per atom.

The structure belongs to space group I-42d (No. 122); the cell edges are 4.436, 4.436 and 10.009 Å and the angles 90.00°, 90.00° and 90.00°. The inequivalent atoms are Cu at (0.156, 0.250, 0.125), H at (0.000, 0.000, 0.000) and S at (0.000, 0.000, 0.500).



Entry 8:
DFT (GGA-PBE) results for a relaxed PuPaCdAu crystal.

The density of states at the Fermi level comes out at 6.3 states/eV/f.u. The formation energy is -0.109 eV per atom. The value obtained for the total energy is -7.11 eV per atom.

The structure belongs to space group P4/nmm (No. 129, origin choice 2); the cell edges are 4.546, 4.546 and 8.595 Å and the angles 90.00°, 90.00° and 90.00°. The inequivalent atoms are Pu at (0.250, 0.250, 0.221), Pa at (0.250, 0.750, 0.000), Cd at (0.250, 0.750, 0.500) and Au at (0.250, 0.250, 0.726).



Entry 9:
DFT (GGA-PBE) results for a relaxed TbHgPd5 crystal.

The density of states at the Fermi level comes out at 5.2 states/eV/f.u. The formation energy is 0.193 eV per atom. The value obtained for the total energy is -4.22 eV per atom.

The structure belongs to space group Imm2 (No. 44); the cell edges are 7.335, 8.929 and 5.336 Å and the angles 90.00°, 90.00° and 90.00°. The inequivalent atoms are Tb at (0.000, 0.000, 0.000), Hg at (0.000, 0.500, 0.307), Pd at (0.000, 0.000, 0.505), Pd at (0.000, 0.265, 0.678) and Pd at (0.183, 0.500, 0.820).



Entry 10:
DFT (GGA-PBE) results for a relaxed Np2InIr crystal.

The density of states at the Fermi level comes out at 11.7 states/eV/f.u. The formation energy is 0.006 eV per atom. The value obtained for the total energy is -9.36 eV per atom.

The structure belongs to space group P4/mmm (No. 123); the cell edges are 3.816, 3.816 and 6.096 Å and the angles 90.00°, 90.00° and 90.00°. The inequivalent atoms are Np at (0.000, 0.000, 0.215), In at (0.500, 0.500, 0.500) and Ir at (0.500, 0.500, 0.000).



Entry 11:
DFT (GGA-PBE) results for a relaxed Sc5Sn3O12 crystal.

The density of states at the Fermi level comes out at 4.9 states/eV/f.u. The value obtained for the total energy is -7.61 eV per atom.

The structure belongs to space group Ia-3d (No. 230); the cell edges are 12.914, 12.914 and 12.914 Å and the angles 90.00°, 90.00° and 90.00°. The inequivalent atoms are Sc at (0.000, 0.000, 0.000), Sc at (0.000, 0.250, 0.375), Sn at (0.000, 0.250, 0.125) and O at (0.026, 0.062, 0.651).



Entry 12:
DFT (GGA-PBE) results for a relaxed Cd4SbPCl2 crystal.

The density of states at the Fermi level comes out at 1.6 states/eV/f.u. The value obtained for the total energy is -2.42 eV per atom.

The structure belongs to space group C2/c (No. 15); the cell edges are 11.102, 13.718 and 7.637 Å and the angles 90.00°, 133.30° and 90.00°. The inequivalent atoms are Cd at (0.000, 0.217, 0.017), Cd at (0.239, 0.443, 0.490), Sb at (0.000, 0.000, 0.000), P at (0.250, 0.250, 0.500), Cl at (0.000, 0.500, 0.000) and Cl at (0.250, 0.250, 0.000).



Entry 13:
DFT (GGA-PBE) results for a relaxed ZrTeWN2 crystal.

The density of states at the Fermi level comes out at 4.4 states/eV/f.u. The value obtained for the total energy is -7.10 eV per atom.

The structure belongs to space group P4/mmm (No. 123); the cell edges are 4.141, 4.141 and 6.054 Å and the angles 90.00°, 90.00° and 90.00°. The inequivalent atoms are Zr at (0.000, 0.000, 0.000), Te at (0.000, 0.000, 0.500), W at (0.500, 0.500, 0.500) and N at (0.000, 0.500, 0.000).



Entry 14:
DFT (GGA-PBE) results for a relaxed Mn3HN crystal.

The density of states at the Fermi level comes out at 3.7 states/eV/f.u. The value obtained for the total energy is -7.94 eV per atom.

The structure belongs to space group C2/c (No. 15); the cell edges are 8.484, 5.536 and 8.534 Å and the angles 90.00°, 116.77° and 90.00°. The inequivalent atoms are Mn at (0.012, 0.248, 0.010), Mn at (0.168, 0.005, 0.830), Mn at (0.171, 0.491, 0.335), H at (0.189, 0.262, 0.688), N at (0.000, 0.241, 0.250) and N at (0.250, 0.250, 0.000).



Entry 15:
DFT (GGA-PBE) results for a relaxed NbAlS2 crystal.

The density of states at the Fermi level comes out at 3.4 states/eV/f.u. The value obtained for the total energy is -5.86 eV per atom.

The structure belongs to space group I-42d (No. 122); the cell edges are 5.639, 5.639 and 10.182 Å and the angles 90.00°, 90.00° and 90.00°. The inequivalent atoms are Nb at (0.000, 0.000, 0.000), Al at (0.000, 0.000, 0.500) and S at (0.223, 0.250, 0.625).



Entry 16:
DFT (GGA-PBE) results for a relaxed PmPaTl2 crystal.

The density of states at the Fermi level comes out at 6.4 states/eV/f.u. The formation energy is 0.262 eV per atom. The value obtained for the total energy is -4.48 eV per atom.

The structure belongs to space group R-3m (No. 166, hexagonal axes); the cell edges are 3.3283, 3.3283 and 36.8614 Å and the angles 90.00°, 90.00° and 120.00°. The inequivalent atoms are Pm at (0.0000, 0.0000, 0.0000), Pa at (0.0000, 0.0000, 0.5000) and Tl at (0.0000, 0.0000, 0.4130).



Entry 17:
DFT (GGA-PBE) results for a relaxed Dy2Al2VRu5 crystal.

The density of states at the Fermi level comes out at 8.9 states/eV/f.u. The formation energy is -0.390 eV per atom. The value obtained for the total energy is -7.61 eV per atom.

The structure belongs to space group P4/mbm (No. 127); the cell edges are 10.066, 10.066 and 3.237 Å and the angles 90.00°, 90.00° and 90.00°. The inequivalent atoms are Dy at (0.171, 0.329, 0.000), Al at (0.129, 0.629, 0.000), V at (0.000, 0.000, 0.000), Ru at (0.000, 0.500, 0.500) and Ru at (0.063, 0.807, 0.500).



Entry 18:
DFT (GGA-PBE) results for a relaxed Sm6AlTe3Se2 crystal.

The density of states at the Fermi level comes out at 5.3 states/eV/f.u. The value obtained for the total energy is -5.40 eV per atom.

The structure belongs to space group C2/m (No. 12); the cell edges are 19.129, 4.246 and 8.862 Å and the angles 90.00°, 105.07° and 90.00°. The inequivalent atoms are Sm at (0.004, 0.000, 0.240), Sm at (0.160, 0.500, 0.094), Sm at (0.172, 0.500, 0.567), Al at (0.000, 0.500, 0.000), Te at (0.000, 0.500, 0.500), Te at (0.168, 0.000, 0.830) and Se at (0.168, 0.000, 0.333).



Entry 19:
DFT (GGA-PBE) results for a relaxed Tm5SbRh2 crystal.

The density of states at the Fermi level comes out at 6.9 states/eV/f.u. The value obtained for the total energy is -5.96 eV per atom.

The structure belongs to space group I4/mcm (No. 140); the cell edges are 7.659, 7.659 and 13.257 Å and the angles 90.00°, 90.00° and 90.00°. The inequivalent atoms are Tm at (0.000, 0.000, 0.000), Tm at (0.156, 0.344, 0.136), Sb at (0.000, 0.000, 0.250) and Rh at (0.140, 0.360, 0.500).



Entry 20:
DFT (GGA-PBE) results for a relaxed TcTeSe2 crystal.

The density of states at the Fermi level comes out at 2.8 states/eV/f.u. The value obtained for the total energy is -4.79 eV per atom.

The structure belongs to space group I4_1/amd (No. 141, origin choice 2); the cell edges are 5.328, 5.328 and 12.824 Å and the angles 90.00°, 90.00° and 90.00°. The inequivalent atoms are Tc at (0.000, 0.250, 0.375), Te at (0.000, 0.250, 0.875) and Se at (0.000, 0.250, 0.179).